Record 1
A plane-wave DFT calculation with PBE was carried out for an optimized crystal structure of La2Pr4Sn3Cl2.

Results
As for the energy relative to the elements, uncorrected: -0.852 eV per atom. For the density of states at the Fermi level, the calculation gives 23.903 states/eV per cell.

CIF file:
```
data_La2Pr4Sn3Cl2
_symmetry_space_group_name_H-M 'I 4/m m m'
_symmetry_Int_Tables_number 139
_symmetry_space_group_name_Hall '-I 4 2'
_cell_length_a 5.379
_cell_length_b 5.379
_cell_length_c 24.677
_cell_angle_alpha 90.00
_cell_angle_beta 90.00
_cell_angle_gamma 90.00
loop_
_atom_site_label
_atom_site_type_symbol
_atom_site_fract_x
_atom_site_fract_y
_atom_site_fract_z
_atom_site_occupancy
La1 La 0.000 0.000 0.198 1
Pr1 Pr 0.000 0.500 0.087 1
Sn1 Sn 0.000 0.000 0.330 1
Sn2 Sn 0.000 0.000 0.500 1
Cl1 Cl 0.000 0.000 0.069 1
```



Record 2
A plane-wave DFT calculation with PBE was carried out for an optimized crystal structure of CeGa3Cu.

Results
The calculation puts the energy above the most stable polymorph in this dataset at 0.0057 eV per atom. For the density of states at the Fermi level, the calculation gives 23.403 states/eV per cell. The calculation puts the energy of formation from the pure elements at -11.00 kcal/mol of atoms.

CIF file:
```
data_CeGa3Cu
_symmetry_space_group_name_H-M 'C m c m'
_symmetry_Int_Tables_number 63
_symmetry_space_group_name_Hall '-C 2c 2'
_cell_length_a 6.063
_cell_length_b 10.185
_cell_length_c 6.060
_cell_angle_alpha 90.00
_cell_angle_beta 90.00
_cell_angle_gamma 90.00
loop_
_atom_site_label
_atom_site_type_symbol
_atom_site_fract_x
_atom_site_fract_y
_atom_site_fract_z
_atom_site_occupancy
Ce1 Ce 0.000 0.248 0.250 1
Ga1 Ga 0.000 0.352 0.750 1
Ga2 Ga 0.249 0.000 0.000 1
Cu1 Cu 0.000 0.120 0.750 1
```



Record 3
A plane-wave DFT calculation with PBE was carried out for an optimized crystal structure of Tb7Tl2Ge2.

Results
For the density of states at the Fermi level, the calculation gives 24.940 states/eV per cell. The calculation puts the energy of formation from the pure elements at -6.81 kcal/mol of atoms.

CIF file:
```
data_Tb7Tl2Ge2
_symmetry_space_group_name_H-M 'C m m m'
_symmetry_Int_Tables_number 65
_symmetry_space_group_name_Hall '-C 2 2'
_cell_length_a 8.331
_cell_length_b 10.983
_cell_length_c 7.179
_cell_angle_alpha 90.00
_cell_angle_beta 90.00
_cell_angle_gamma 90.00
loop_
_atom_site_label
_atom_site_type_symbol
_atom_site_fract_x
_atom_site_fract_y
_atom_site_fract_z
_atom_site_occupancy
Tb1 Tb 0.000 0.000 0.000 1
Tb2 Tb 0.000 0.500 0.249 1
Tb3 Tb 0.250 0.250 0.267 1
Tl1 Tl 0.180 0.000 0.500 1
Ge1 Ge 0.000 0.279 0.000 1
```



Record 4
A plane-wave DFT calculation with PBE was carried out for an optimized crystal structure of YSc3Fe8.

Results
For the density of states at the Fermi level, the calculation gives 30.331 states/eV per cell. The calculation puts the energy of formation from the pure elements at -4.88 kcal/mol of atoms.

CIF file:
```
data_YSc3Fe8
_symmetry_space_group_name_H-M 'R 3 m'
_symmetry_Int_Tables_number 160
_symmetry_space_group_name_Hall 'R 3 -2"'
_cell_length_a 4.9758
_cell_length_b 4.9758
_cell_length_c 24.3595
_cell_angle_alpha 90.00
_cell_angle_beta 90.00
_cell_angle_gamma 120.00
loop_
_atom_site_label
_atom_site_type_symbol
_atom_site_fract_x
_atom_site_fract_y
_atom_site_fract_z
_atom_site_occupancy
Y1 Y 0.0000 0.0000 0.0000 1
Sc1 Sc 0.0000 0.0000 0.1264 1
Sc2 Sc 0.0000 0.0000 0.4997 1
Sc3 Sc 0.0000 0.0000 0.6228 1
Fe1 Fe 0.0000 0.0000 0.3119 1
Fe2 Fe 0.0000 0.0000 0.8125 1
Fe3 Fe 0.0010 0.5005 0.0641 1
Fe4 Fe 0.1676 0.3353 0.8941 1
```



Record 5
A plane-wave DFT calculation with PBE was carried out for an optimized crystal structure of Tl2CrBr2Cl2.

Results
As for the energy relative to the elements, uncorrected: -0.829 eV per atom. For the density of states at the Fermi level, the calculation gives 8.446 states/eV per cell.

CIF file:
```
data_Tl2CrBr2Cl2
_symmetry_space_group_name_H-M 'I m m m'
_symmetry_Int_Tables_number 71
_symmetry_space_group_name_Hall '-I 2 2'
_cell_length_a 3.897
_cell_length_b 6.905
_cell_length_c 14.953
_cell_angle_alpha 90.00
_cell_angle_beta 90.00
_cell_angle_gamma 90.00
loop_
_atom_site_label
_atom_site_type_symbol
_atom_site_fract_x
_atom_site_fract_y
_atom_site_fract_z
_atom_site_occupancy
Tl1 Tl 0.000 0.000 0.153 1
Cr1 Cr 0.000 0.500 0.000 1
Br1 Br 0.000 0.500 0.177 1
Cl1 Cl 0.000 0.237 0.500 1
```



Record 6
A plane-wave DFT calculation with PBE was carried out for an optimized crystal structure of Fe2Te.

Results
As for the energy relative to the elements, uncorrected: 0.465 eV per atom. For the density of states at the Fermi level, the calculation gives 2.661 states/eV per cell.

CIF file:
```
data_Fe2Te
_symmetry_space_group_name_H-M 'P -3 m 1'
_symmetry_Int_Tables_number 164
_symmetry_space_group_name_Hall '-P 3 2"'
_cell_length_a 3.2086
_cell_length_b 3.2086
_cell_length_c 5.6407
_cell_angle_alpha 90.00
_cell_angle_beta 90.00
_cell_angle_gamma 120.00
loop_
_atom_site_label
_atom_site_type_symbol
_atom_site_fract_x
_atom_site_fract_y
_atom_site_fract_z
_atom_site_occupancy
Fe1 Fe 0.3333 0.6667 0.1374 1
Te1 Te 0.0000 0.0000 0.5000 1
```



no.,final energy (eV/atom)
1,-4.91
2,-4.30
3,-4.51
4,-7.97
5,-3.89
6,-6.22